1.
TbTm5Sc3, optimized geometry, DFT GGA-PBE; symmetry = C2/m; ΔH_f (0 K) = 11.2 kcal/mol of atoms; DOS(E_F) = 25.4 states/eV/cell; theoretical density = 6.50 g/cm³
1.0
7.247 -5.496 0.000
7.247 5.496 0.000
-6.118 0.000 7.302
Tb Tm Sc
2 10 6
Direct
0.246 0.246 0.097 Tb
0.754 0.754 0.903 Tb
0.110 0.613 0.757 Tm
0.219 0.219 0.731 Tm
0.242 0.758 0.500 Tm
0.283 0.283 0.470 Tm
0.387 0.890 0.243 Tm
0.613 0.110 0.757 Tm
0.717 0.717 0.530 Tm
0.758 0.242 0.500 Tm
0.781 0.781 0.269 Tm
0.890 0.387 0.243 Tm
0.000 0.000 0.000 Sc
0.013 0.013 0.316 Sc
0.477 0.477 0.131 Sc
0.500 0.500 0.500 Sc
0.523 0.523 0.869 Sc
0.987 0.987 0.684 Sc

***

2.
AgIO2, optimized geometry, DFT GGA-PBE; symmetry = I4_1/amd; DOS(E_F) = 7.4 states/eV/cell; E_form (uncorrected) = 0.062 eV/atom; theoretical density = 6.83 g/cm³
1.0
-3.305 3.305 5.938
3.305 -3.305 5.938
3.305 3.305 -5.938
Ag I O
4 4 8
Direct
0.000 0.000 0.000 Ag
0.000 0.000 0.500 Ag
0.000 0.500 0.000 Ag
0.500 0.000 0.500 Ag
0.000 0.500 0.500 I
0.500 0.000 0.000 I
0.500 0.500 0.000 I
0.500 0.500 0.500 I
0.196 0.238 0.542 O
0.196 0.653 0.958 O
0.238 0.196 0.042 O
0.347 0.804 0.542 O
0.653 0.196 0.458 O
0.762 0.804 0.958 O
0.804 0.347 0.042 O
0.804 0.762 0.458 O

***

3.
YTl3Te2O9, optimized geometry, DFT GGA-PBE; symmetry = P-3m1; DOS(E_F) = 5.5 states/eV/cell; E_form (uncorrected) = -1.252 eV/atom; theoretical density = 8.23 g/cm³
1.0
5.928 0.000 0.000
-2.964 5.133 0.000
0.000 0.000 7.307
Y Tl Te O
1 3 2 9
Direct
0.000 0.000 0.000 Y
0.000 0.000 0.500 Tl
0.333 0.667 0.169 Tl
0.667 0.333 0.831 Tl
0.333 0.667 0.668 Te
0.667 0.333 0.332 Te
0.000 0.500 0.500 O
0.177 0.355 0.813 O
0.177 0.823 0.813 O
0.355 0.177 0.187 O
0.500 0.000 0.500 O
0.500 0.500 0.500 O
0.645 0.823 0.813 O
0.823 0.177 0.187 O
0.823 0.645 0.187 O

***

4.
In2GeOs, optimized geometry, DFT GGA-PBE; symmetry = P-1; ΔH_f (0 K) = 3.6 kcal/mol of atoms; DOS(E_F) = 2.3 states/eV/cell; theoretical density = 9.89 g/cm³
1.0
4.920 0.000 0.000
2.062 4.856 0.000
1.551 1.536 6.919
In Ge Os
4 2 2
Direct
0.023 0.401 0.238 In
0.326 0.821 0.990 In
0.674 0.179 0.010 In
0.977 0.599 0.762 In
0.449 0.817 0.427 Ge
0.551 0.183 0.573 Ge
0.054 0.117 0.648 Os
0.946 0.883 0.352 Os

***

5.
Sr3LiRh, optimized geometry, DFT GGA-PBE; symmetry = P1; ΔH_f (0 K) = -2.6 kcal/mol of atoms; DOS(E_F) = 6.6 states/eV/cell; polymorph energy (0 for the lowest one) = 0.0344 eV/atom; theoretical density = 3.52 g/cm³
1.0
6.556 0.000 0.000
0.759 7.674 0.000
1.397 3.117 6.983
Sr Li Rh
6 2 2
Direct
0.000 0.000 0.000 Sr
0.017 0.535 0.785 Sr
0.074 0.088 0.422 Sr
0.484 0.663 0.036 Sr
0.505 0.318 0.540 Sr
0.594 0.844 0.436 Sr
0.478 0.208 0.032 Li
0.960 0.530 0.269 Li
0.197 0.717 0.361 Rh
0.753 0.281 0.185 Rh

***

6.
LiNdCuPb, optimized geometry, DFT GGA-PBE; symmetry = F-43m; ΔH_f (0 K) = -6.5 kcal/mol of atoms; DOS(E_F) = 6.6 states/eV/cell; theoretical density = 8.40 g/cm³
1.0
6.937 0.000 0.000
0.000 6.937 0.000
0.000 0.000 6.937
Li Nd Cu Pb
4 4 4 4
Direct
0.000 0.000 0.000 Li
0.000 0.500 0.500 Li
0.500 0.000 0.500 Li
0.500 0.500 0.000 Li
0.250 0.250 0.250 Nd
0.250 0.750 0.750 Nd
0.750 0.250 0.750 Nd
0.750 0.750 0.250 Nd
0.000 0.000 0.500 Cu
0.000 0.500 0.000 Cu
0.500 0.000 0.000 Cu
0.500 0.500 0.500 Cu
0.250 0.250 0.750 Pb
0.250 0.750 0.250 Pb
0.750 0.250 0.250 Pb
0.750 0.750 0.750 Pb

***

7.
Pr12Tl4GaO3, optimized geometry, DFT GGA-PBE; symmetry = Im-3m; DOS(E_F) = 10.1 states/eV/cell; E_form (uncorrected) = -0.974 eV/atom; theoretical density = 7.78 g/cm³
1.0
-5.195 5.195 5.195
5.195 -5.195 5.195
5.195 5.195 -5.195
Pr Tl Ga O
12 4 1 3
Direct
0.000 0.266 0.266 Pr
0.000 0.734 0.734 Pr
0.250 0.500 0.750 Pr
0.250 0.750 0.500 Pr
0.266 0.000 0.266 Pr
0.266 0.266 0.000 Pr
0.500 0.250 0.750 Pr
0.500 0.750 0.250 Pr
0.734 0.000 0.734 Pr
0.734 0.734 0.000 Pr
0.750 0.250 0.500 Pr
0.750 0.500 0.250 Pr
0.000 0.000 0.500 Tl
0.000 0.500 0.000 Tl
0.500 0.000 0.000 Tl
0.500 0.500 0.500 Tl
0.000 0.000 0.000 Ga
0.000 0.500 0.500 O
0.500 0.000 0.500 O
0.500 0.500 0.000 O

***

8.
CeThPd2, optimized geometry, DFT GGA-PBE; symmetry = Fm-3m; ΔH_f (0 K) = -14.3 kcal/mol of atoms; DOS(E_F) = 32.7 states/eV/cell; polymorph energy (0 for the lowest one) = 0.0038 eV/atom; theoretical density = 10.40 g/cm³
1.0
7.203 0.000 0.000
0.000 7.203 0.000
0.000 0.000 7.203
Ce Th Pd
4 4 8
Direct
0.000 0.000 0.000 Ce
0.000 0.500 0.500 Ce
0.500 0.000 0.500 Ce
0.500 0.500 0.000 Ce
0.000 0.000 0.500 Th
0.000 0.500 0.000 Th
0.500 0.000 0.000 Th
0.500 0.500 0.500 Th
0.250 0.250 0.250 Pd
0.250 0.250 0.750 Pd
0.250 0.750 0.250 Pd
0.250 0.750 0.750 Pd
0.750 0.250 0.250 Pd
0.750 0.250 0.750 Pd
0.750 0.750 0.250 Pd
0.750 0.750 0.750 Pd

***

9.
BeNi2H, optimized geometry, DFT GGA-PBE; symmetry = Fm-3m; DOS(E_F) = 4.4 states/eV/cell; polymorph energy (0 for the lowest one) = 0.2914 eV/atom; theoretical density = 6.53 g/cm³
1.0
5.061 0.000 0.000
0.000 5.061 0.000
0.000 0.000 5.061
Be Ni H
4 8 4
Direct
0.000 0.000 0.000 Be
0.000 0.500 0.500 Be
0.500 0.000 0.500 Be
0.500 0.500 0.000 Be
0.250 0.250 0.250 Ni
0.250 0.250 0.750 Ni
0.250 0.750 0.250 Ni
0.250 0.750 0.750 Ni
0.750 0.250 0.250 Ni
0.750 0.250 0.750 Ni
0.750 0.750 0.250 Ni
0.750 0.750 0.750 Ni
0.000 0.000 0.500 H
0.000 0.500 0.000 H
0.500 0.000 0.000 H
0.500 0.500 0.500 H

***

10.
CuPt, optimized geometry, DFT GGA-PBE; symmetry = Pm-3n; ΔH_f (0 K) = 24.2 kcal/mol of atoms; DOS(E_F) = 27.5 states/eV/cell; theoretical density = 8.18 g/cm³
1.0
6.805 0.000 0.000
0.000 6.805 0.000
0.000 0.000 6.805
Cu Pt
6 6
Direct
0.000 0.250 0.500 Cu
0.000 0.750 0.500 Cu
0.250 0.500 0.000 Cu
0.500 0.000 0.250 Cu
0.500 0.000 0.750 Cu
0.750 0.500 0.000 Cu
0.000 0.500 0.250 Pt
0.000 0.500 0.750 Pt
0.250 0.000 0.500 Pt
0.500 0.250 0.000 Pt
0.500 0.750 0.000 Pt
0.750 0.000 0.500 Pt

***

11.
Ti2Al2Au, optimized geometry, DFT GGA-PBE; symmetry = I4/mmm; ΔH_f (0 K) = 2.0 kcal/mol of atoms; DOS(E_F) = 12.7 states/eV/cell; polymorph energy (0 for the lowest one) = 0.4885 eV/atom; theoretical density = 6.26 g/cm³
1.0
3.587 0.000 0.000
0.000 3.587 0.000
0.000 0.000 14.282
Ti Al Au
4 4 2
Direct
0.000 0.000 0.096 Ti
0.000 0.000 0.904 Ti
0.500 0.500 0.404 Ti
0.500 0.500 0.596 Ti
0.000 0.500 0.250 Al
0.000 0.500 0.750 Al
0.500 0.000 0.250 Al
0.500 0.000 0.750 Al
0.000 0.000 0.500 Au
0.500 0.500 0.000 Au

***

12.
LiTb2ErTe5, optimized geometry, DFT GGA-PBE; symmetry = Cmc2_1; E_form (uncorrected) = -1.243 eV/atom; theoretical density = 7.16 g/cm³
1.0
2.161 -9.218 0.000
2.161 9.218 0.000
0.000 0.000 13.159
Li Tb Er Te
2 4 2 10
Direct
0.058 0.942 0.500 Li
0.942 0.058 0.000 Li
0.373 0.627 0.336 Tb
0.394 0.606 0.721 Tb
0.606 0.394 0.221 Tb
0.627 0.373 0.836 Tb
0.303 0.697 0.046 Er
0.697 0.303 0.546 Er
0.002 0.998 0.820 Te
0.138 0.862 0.035 Te
0.189 0.811 0.381 Te
0.218 0.782 0.706 Te
0.454 0.546 0.111 Te
0.546 0.454 0.611 Te
0.782 0.218 0.206 Te
0.811 0.189 0.881 Te
0.862 0.138 0.535 Te
0.998 0.002 0.320 Te

***

13.
Pm2Pu3Ru4, optimized geometry, DFT GGA-PBE; symmetry = Cmce; ΔH_f (0 K) = -4.6 kcal/mol of atoms; DOS(E_F) = 31.0 states/eV/cell; theoretical density = 12.31 g/cm³
1.0
3.074 -8.204 0.000
3.074 8.204 0.000
0.000 0.000 7.629
Pm Pu Ru
4 6 8
Direct
0.098 0.902 0.903 Pm
0.402 0.598 0.403 Pm
0.598 0.402 0.597 Pm
0.902 0.098 0.097 Pm
0.000 0.000 0.500 Pu
0.023 0.477 0.750 Pu
0.477 0.023 0.250 Pu
0.500 0.500 0.000 Pu
0.523 0.977 0.750 Pu
0.977 0.523 0.250 Pu
0.160 0.840 0.524 Ru
0.184 0.316 0.750 Ru
0.316 0.184 0.250 Ru
0.340 0.660 0.024 Ru
0.660 0.340 0.976 Ru
0.684 0.816 0.750 Ru
0.816 0.684 0.250 Ru
0.840 0.160 0.476 Ru

***

14.
Cs3Cd2Hg6, optimized geometry, DFT GGA-PBE; symmetry = I4/mmm; ΔH_f (0 K) = -3.2 kcal/mol of atoms; DOS(E_F) = 6.9 states/eV/cell; theoretical density = 6.53 g/cm³
1.0
-2.562 2.562 17.684
2.562 -2.562 17.684
2.562 2.562 -17.684
Cs Cd Hg
3 2 6
Direct
0.000 0.000 0.000 Cs
0.173 0.173 0.000 Cs
0.827 0.827 0.000 Cs
0.374 0.374 0.000 Cd
0.626 0.626 0.000 Cd
0.083 0.583 0.500 Hg
0.280 0.280 0.000 Hg
0.417 0.917 0.500 Hg
0.583 0.083 0.500 Hg
0.720 0.720 0.000 Hg
0.917 0.417 0.500 Hg

***

15.
Tb5MgIn8, optimized geometry, DFT GGA-PBE; symmetry = I-4; ΔH_f (0 K) = -6.7 kcal/mol of atoms; DOS(E_F) = 9.6 states/eV/cell; theoretical density = 7.52 g/cm³
1.0
-4.621 4.621 4.490
4.621 -4.621 4.490
4.621 4.621 -4.490
Tb Mg In
5 1 8
Direct
0.000 0.000 0.000 Tb
0.242 0.085 0.612 Tb
0.370 0.758 0.843 Tb
0.473 0.630 0.388 Tb
0.915 0.527 0.157 Tb
0.750 0.250 0.500 Mg
0.105 0.342 0.423 In
0.130 0.371 0.900 In
0.318 0.895 0.237 In
0.471 0.230 0.100 In
0.629 0.529 0.759 In
0.658 0.081 0.763 In
0.770 0.870 0.241 In
0.919 0.682 0.577 In

***

16.
TaReTe2Pb, optimized geometry, DFT GGA-PBE; symmetry = P4/mmm; DOS(E_F) = 3.3 states/eV/cell; E_form (uncorrected) = 0.979 eV/atom; theoretical density = 9.37 g/cm³
1.0
5.454 0.000 0.000
0.000 5.454 0.000
0.000 0.000 4.942
Ta Re Te Pb
1 1 2 1
Direct
0.000 0.000 0.000 Ta
0.000 0.000 0.500 Re
0.000 0.500 0.000 Te
0.500 0.000 0.000 Te
0.500 0.500 0.500 Pb

***

17.
BeNi2Cl, optimized geometry, DFT GGA-PBE; symmetry = P4/mmm; DOS(E_F) = 2.4 states/eV/cell; E_form (uncorrected) = 0.411 eV/atom; polymorph energy (0 for the lowest one) = 0.4402 eV/atom; theoretical density = 5.82 g/cm³
1.0
3.979 0.000 0.000
0.000 3.979 0.000
0.000 0.000 2.917
Be Ni Cl
1 2 1
Direct
0.000 0.000 0.000 Be
0.000 0.500 0.500 Ni
0.500 0.000 0.500 Ni
0.500 0.500 0.000 Cl

***

18.
Nd4Sm5Th, optimized geometry, DFT GGA-PBE; symmetry = C2/m; ΔH_f (0 K) = 0.6 kcal/mol of atoms; DOS(E_F) = 15.2 states/eV/cell; polymorph energy (0 for the lowest one) = 0.0059 eV/atom; theoretical density = 7.55 g/cm³
1.0
9.474 -1.822 0.000
9.474 1.822 0.000
-2.792 0.000 9.939
Nd Sm Th
4 5 1
Direct
0.098 0.098 0.295 Nd
0.302 0.302 0.900 Nd
0.698 0.698 0.100 Nd
0.902 0.902 0.705 Nd
0.098 0.098 0.803 Sm
0.301 0.301 0.401 Sm
0.500 0.500 0.500 Sm
0.699 0.699 0.599 Sm
0.902 0.902 0.197 Sm
0.500 0.500 0.000 Th

***

19.
Cs3PmTh2S6, optimized geometry, DFT GGA-PBE; symmetry = C2/m; DOS(E_F) = 7.0 states/eV/cell; E_form (uncorrected) = -1.708 eV/atom; theoretical density = 5.38 g/cm³
1.0
3.623 -6.274 0.000
3.623 6.274 0.000
-2.415 0.000 8.143
Cs Pm Th S
3 1 2 6
Direct
0.000 0.000 0.000 Cs
0.335 0.665 0.000 Cs
0.665 0.335 0.000 Cs
0.500 0.500 0.500 Pm
0.167 0.833 0.500 Th
0.833 0.167 0.500 Th
0.099 0.437 0.311 S
0.224 0.224 0.688 S
0.437 0.099 0.311 S
0.563 0.901 0.689 S
0.776 0.776 0.312 S
0.901 0.563 0.689 S

***

20.
CdRe2BiS, optimized geometry, DFT GGA-PBE; symmetry = P4/mmm; DOS(E_F) = 5.3 states/eV/cell; E_form (uncorrected) = 1.066 eV/atom; theoretical density = 11.59 g/cm³
1.0
4.439 0.000 0.000
0.000 4.439 0.000
0.000 0.000 5.277
Cd Re Bi S
1 2 1 1
Direct
0.000 0.000 0.000 Cd
0.000 0.500 0.500 Re
0.500 0.000 0.500 Re
0.500 0.500 0.000 Bi
0.000 0.000 0.500 S

***

21.
BeTeH2N, optimized geometry, DFT GGA-PBE; symmetry = P4/mmm; DOS(E_F) = 1.2 states/eV/cell; polymorph energy (0 for the lowest one) = 0.0000 eV/atom; theoretical density = 4.58 g/cm³
1.0
3.180 0.000 0.000
0.000 3.180 0.000
0.000 0.000 5.478
Be Te H N
1 1 2 1
Direct
0.000 0.000 0.000 Be
0.000 0.000 0.500 Te
0.000 0.500 0.000 H
0.500 0.000 0.000 H
0.500 0.500 0.500 N

***

22.
NbAl3Mo, optimized geometry, DFT GGA-PBE; symmetry = Pm-3m; ΔH_f (0 K) = 19.8 kcal/mol of atoms; DOS(E_F) = 5.4 states/eV/cell; polymorph energy (0 for the lowest one) = 0.0000 eV/atom; theoretical density = 4.44 g/cm³
1.0
4.655 0.000 0.000
0.000 4.655 0.000
0.000 0.000 4.655
Nb Al Mo
1 3 1
Direct
0.000 0.000 0.000 Nb
0.000 0.500 0.500 Al
0.500 0.000 0.500 Al
0.500 0.500 0.000 Al
0.500 0.500 0.500 Mo